CaTlAg3 | PBE | relaxed

Results
E_tot	-2.31	eV/atom
formation energy	0.271	eV/atom
energy above the most stable polymorph in this dataset	381.6	meV/atom
spin magnetization	0.00	μB per cell

a b c (Å): 5.2701 5.2701 5.2701
angles (deg): 90.00 90.00 90.00
With the nearest neighbours (Å) after each atom.
Space group Pm-3m (No. 221)
Asymmetric unit:
Ca1 0.0000 0.0000 0.0000 x1  12 Ag 3.73
Tl1 0.5000 0.5000 0.5000 x1  6 Ag 2.64
Ag1 0.0000 0.5000 0.5000 x3  2 Tl 2.64


Ca3Tl2Ag | PBE | relaxed

Results
E_tot	-2.65	eV/atom
formation energy	-0.385	eV/atom
energy above the most stable polymorph in this dataset	5.2	meV/atom
spin magnetization	0.00	μB per cell

a b c (Å): 3.8525 3.8525 11.3900
angles (deg): 90.00 90.00 90.00
With the nearest neighbours (Å) after each atom.
Space group P4/mmm (No. 123)
Asymmetric unit:
Ca1 0.0000 0.0000 0.0000 x1  8 Tl 3.33
Ca2 0.0000 0.0000 0.3420 x2  4 Ag 3.27, 4 Tl 3.37, 1 Ca 3.60
Tl1 0.5000 0.5000 0.1679 x2  8 Ca 3.33-3.37
Ag1 0.5000 0.5000 0.5000 x1  8 Ca 3.27


CaY2Tl2Ag2 | PBE | relaxed

Results
E_tot	-3.82	eV/atom
formation energy	-0.192	eV/atom
spin magnetization	0.00	μB per cell

a b c (Å): 4.9213 4.9213 27.5978
angles (deg): 90.00 90.00 120.00
With the nearest neighbours (Å) after each atom.
Space group R-3m (No. 166, hexagonal axes)
Asymmetric unit:
Ca1 0.0000 0.0000 0.0000 x3  6 Ag 3.45, 2 Y 3.46, 6 Tl 3.58
Y1 0.0000 0.0000 0.1254 x6  3 Tl 3.12, 3 Ag 3.21, 1 Ca 3.46
Tl1 0.0000 0.0000 0.2545 x6  3 Ag 2.85, 3 Y 3.12
Ag1 0.0000 0.0000 0.4044 x6  3 Tl 2.85


CaTlZn2Ag | PBE | relaxed

Results
E_tot	-1.85	eV/atom
formation energy	0.104	eV/atom
spin magnetization	0.00	μB per cell

a b c (Å): 4.9621 4.9621 5.6013
angles (deg): 90.00 90.00 90.00
With the nearest neighbours (Å) after each atom.
Space group P4/mmm (No. 123)
Asymmetric unit:
Ca1 0.0000 0.0000 0.0000 x1  2 Ag 2.80
Tl1 0.5000 0.5000 0.0000 x1  4 Ca 3.51, 8 Zn 3.74
Zn1 0.0000 0.5000 0.5000 x2  2 Ag 2.48
Ag1 0.0000 0.0000 0.5000 x1  4 Zn 2.48


CaTlZnAg | PBE | relaxed

Results
E_tot	-2.29	eV/atom
formation energy	-0.171	eV/atom
spin magnetization	0.00	μB per cell

a b c (Å): 7.1351 7.1351 7.1351
angles (deg): 90.00 90.00 90.00
With the nearest neighbours (Å) after each atom.
Space group F-43m (No. 216)
Asymmetric unit:
Ca1 0.0000 0.0000 0.0000 x4  4 Ag 3.09, 4 Zn 3.09
Tl1 0.0000 0.0000 0.5000 x4  4 Zn 3.09, 4 Ag 3.09
Zn1 0.2500 0.2500 0.7500 x4  4 Tl 3.09, 4 Ca 3.09
Ag1 0.2500 0.2500 0.2500 x4  4 Tl 3.09, 4 Ca 3.09


Ca4TlZnAg2 | PBE | relaxed

Results
E_tot	-2.48	eV/atom
formation energy	-0.315	eV/atom
spin magnetization	0.00	μB per cell

a b c (Å): 5.3063 5.3063 25.9748
angles (deg): 90.00 90.00 120.00
With the nearest neighbours (Å) after each atom.
Space group R-3m (No. 166, hexagonal axes)
Asymmetric unit:
Ca1 0.0000 0.0000 0.1230 x6  1 Zn 3.20, 4 Ag 3.23-3.30, 3 Tl 3.27
Ca2 0.0000 0.0000 0.3733 x6  4 Ag 3.20-3.27, 3 Zn 3.23, 1 Tl 3.29
Tl1 0.0000 0.0000 0.5000 x3  8 Ca 3.27-3.29
Zn1 0.0000 0.0000 0.0000 x3  8 Ca 3.20-3.23
Ag1 0.0000 0.0000 0.2499 x6  8 Ca 3.20-3.30